! RbGaHgF6, optimized geometry, DFT PBE-GGA; values from VASP
! Total energy   -4.0497 eV/atom
! ΔE_f (raw)   -2.32 eV/atom
! Mass density   4.59 g/cm3
&SYSTEM
  ibrav = 0, nat = 9, ntyp = 4
/
ATOMIC_SPECIES
F 19.00 F.upf
Hg 200.59 Hg.upf
Ga 69.72 Ga.upf
Rb 85.47 Rb.upf
CELL_PARAMETERS angstrom
5.821 0.002 0.001
2.912 5.040 -0.001
0.001 -0.001 5.800
ATOMIC_POSITIONS crystal
F 0.596 0.352 0.691
F 0.352 0.596 0.309
F 0.351 0.052 0.691
Hg 0.667 0.667 0.500
F 0.597 0.052 0.310
F 0.052 0.597 0.690
F 0.052 0.351 0.309
Ga 0.333 0.333 0.500
Rb 0.000 0.000 0.000